No. 1
# GdGePO

An optimized crystal structure of GdGePO (GGA-PBE, the Open Quantum Materials Database).

Lattice parameters (Å, degrees): 12.3955 12.3955 12.3955 17.51 17.51 17.51
Last column: nearest neighbours and their distance in Å.
Positions (direct):
Ge  0.2027  0.2027  0.2027  3 P 2.51
Ge  0.7973  0.7973  0.7973  3 P 2.51
O  0.6901  0.6901  0.6901  4 Gd 2.26-2.33
O  0.3099  0.3099  0.3099  4 Gd 2.26-2.33
Gd  0.6265  0.6265  0.6265  4 O 2.26-2.33
Gd  0.3735  0.3735  0.3735  4 O 2.26-2.33
P  0.0967  0.0967  0.0967  3 Ge 2.51
P  0.9033  0.9033  0.9033  3 Ge 2.51

Results
Excess energy over the best structure of this formula in the dataset, meV/atom: 0



No. 2
# GdGePO

An optimized crystal structure of GdGePO (GGA-PBE, the Open Quantum Materials Database).

Lattice parameters (Å, degrees): 5.6080 5.6080 4.7806 90.00 90.00 90.00
Last column: nearest neighbours and their distance in Å.
Positions (direct):
P  0.2500  0.2500  0.4951  2 Ge 2.39
P  0.7500  0.7500  0.5049  2 Ge 2.39
Gd  0.7500  0.2500  0.5000  2 O 2.39
Gd  0.2500  0.7500  0.5000  2 O 2.39
Ge  0.7500  0.7500  0.0043  2 P 2.39
Ge  0.2500  0.2500  0.9957  2 P 2.39
O  0.7500  0.2500  0.0000  2 Gd 2.39
O  0.2500  0.7500  0.0000  2 Gd 2.39

Results
Excess energy over the best structure of this formula in the dataset, meV/atom: 605



No. 3
# GdGePO

An optimized crystal structure of GdGePO (GGA-PBE, the Open Quantum Materials Database).

Lattice parameters (Å, degrees): 3.7669 6.1079 6.9197 90.00 90.00 90.00
Last column: nearest neighbours and their distance in Å.
Positions (direct):
Ge  0.5000  0.6168  0.5714  1 O 1.90
Ge  0.5000  0.3832  0.0714  1 O 1.90
O  0.5000  0.2260  0.3079  1 Ge 1.90
O  0.5000  0.7740  0.8079  1 Ge 1.90
P  0.0000  0.7668  0.3973  2 Ge 2.42
P  0.0000  0.2332  0.8973  2 Ge 2.42
Gd  0.0000  0.2317  0.4773  2 O 2.22
Gd  0.0000  0.7683  0.9773  2 O 2.22

Results
Excess energy over the best structure of this formula in the dataset, meV/atom: 324



No. 4
# GdGePO

An optimized crystal structure of GdGePO (GGA-PBE, the Open Quantum Materials Database).

Lattice parameters (Å, degrees): 4.0589 4.0589 8.9433 90.00 90.00 90.00
Last column: nearest neighbours and their distance in Å.
Positions (direct):
Gd  0.0000  0.5000  0.1185  4 O 2.29
Gd  0.5000  0.0000  0.8815  4 O 2.29
P  0.0000  0.5000  0.6895  4 Ge 2.64
P  0.5000  0.0000  0.3105  4 Ge 2.64
O  0.0000  0.0000  0.0000  4 Gd 2.29
O  0.5000  0.5000  0.0000  4 Gd 2.29
Ge  0.5000  0.5000  0.5000  4 P 2.64, 4 Ge 2.87
Ge  0.0000  0.0000  0.5000  4 P 2.64, 4 Ge 2.87

Results
Excess energy over the best structure of this formula in the dataset, meV/atom: 263



No. 5
# GdGePO

An optimized crystal structure of GdGePO (GGA-PBE, the Open Quantum Materials Database).

Lattice parameters (Å, degrees): 4.2399 5.3568 6.3970 90.00 90.00 90.00
Last column: nearest neighbours and their distance in Å.
Positions (direct):
Ge  0.5000  0.8399  0.4786  2 O 2.20
Ge  0.5000  0.1601  0.9786  2 O 2.20
O  0.0000  0.0967  0.9012  2 Ge 2.20, 2 Gd 2.26-2.27
O  0.0000  0.9033  0.4012  2 Ge 2.20, 2 Gd 2.26-2.27
Gd  0.0000  0.7299  0.0790  2 O 2.26-2.27
Gd  0.0000  0.2701  0.5790  2 O 2.26-2.27
P  0.5000  0.4306  0.2951  2 Ge 2.49
P  0.5000  0.5694  0.7951  2 Ge 2.49

Results
Excess energy over the best structure of this formula in the dataset, meV/atom: 370



No. 6
# GdZrGe2O7

An optimized crystal structure of GdZrGe2O7 (GGA-PBE, the Open Quantum Materials Database).

Lattice parameters (Å, degrees): 5.6220 5.6220 4.9115 97.09 97.09 102.44
Last column: nearest neighbours and their distance in Å.
Positions (direct):
O  0.0477  0.3803  0.2066  1 Ge 1.82
O  0.6197  0.9523  0.7934  1 Ge 1.82
O  0.0903  0.9097  0.5000  2 Ge 1.84
O  0.5918  0.6086  0.2618  1 Ge 1.79
O  0.8897  0.5607  0.7748  1 Ge 1.81
O  0.3914  0.4082  0.7382  1 Ge 1.79
O  0.4393  0.1103  0.2252  1 Ge 1.81
Ge  0.7810  0.7772  0.5761  4 O 1.79-1.84
Ge  0.2228  0.2190  0.4239  4 O 1.79-1.84
Zr  0.6839  0.3161  0.0000  6 O 2.10-2.15
Gd  0.2817  0.7183  0.0000  6 O 2.28-2.47

Results
Electronic total energy, eV per cell: -83.3



No. 7
# Gd3Ge13Os4

An optimized crystal structure of Gd3Ge13Os4 (GGA-PBE, the Open Quantum Materials Database).

Lattice parameters (Å, degrees): 9.0891 9.0891 9.0891 90.00 90.00 90.00
Last column: nearest neighbours and their distance in Å.
Positions (direct):
Ge  0.7971  0.6452  0.5000  2 Os 2.50, 1 Ge 2.64
Ge  0.5000  0.5000  0.5000  12 Ge 3.01
Ge  0.0000  0.0000  0.0000  12 Ge 3.01
Ge  0.2029  0.6452  0.5000  2 Os 2.50, 1 Ge 2.64
Ge  0.0000  0.1452  0.2971  2 Os 2.50, 1 Ge 2.64
Ge  0.8548  0.7029  0.0000  2 Os 2.50, 1 Ge 2.64
Ge  0.8548  0.2971  0.0000  2 Os 2.50, 1 Ge 2.64
Ge  0.6452  0.5000  0.2029  2 Os 2.50, 1 Ge 2.64
Ge  0.5000  0.2029  0.3548  2 Os 2.50, 1 Ge 2.64
Ge  0.2971  0.0000  0.1452  2 Os 2.50, 1 Ge 2.64
Ge  0.3548  0.5000  0.7971  2 Os 2.50, 1 Ge 2.64
Ge  0.7029  0.0000  0.8548  2 Os 2.50, 1 Ge 2.64
Ge  0.6452  0.5000  0.7971  2 Os 2.50, 1 Ge 2.64
Ge  0.0000  0.8548  0.7029  2 Os 2.50, 1 Ge 2.64
Ge  0.2971  0.0000  0.8548  2 Os 2.50, 1 Ge 2.64
Ge  0.0000  0.8548  0.2971  2 Os 2.50, 1 Ge 2.64
Ge  0.2029  0.3548  0.5000  2 Os 2.50, 1 Ge 2.64
Ge  0.7971  0.3548  0.5000  2 Os 2.50, 1 Ge 2.64
Ge  0.0000  0.1452  0.7029  2 Os 2.50, 1 Ge 2.64
Ge  0.3548  0.5000  0.2029  2 Os 2.50, 1 Ge 2.64
Ge  0.5000  0.2029  0.6452  2 Os 2.50, 1 Ge 2.64
Ge  0.5000  0.7971  0.6452  2 Os 2.50, 1 Ge 2.64
Ge  0.1452  0.2971  0.0000  2 Os 2.50, 1 Ge 2.64
Ge  0.7029  0.0000  0.1452  2 Os 2.50, 1 Ge 2.64
Ge  0.1452  0.7029  0.0000  2 Os 2.50, 1 Ge 2.64
Ge  0.5000  0.7971  0.3548  2 Os 2.50, 1 Ge 2.64
Os  0.2500  0.7500  0.7500  6 Ge 2.50
Os  0.2500  0.2500  0.2500  6 Ge 2.50
Os  0.2500  0.7500  0.2500  6 Ge 2.50
Os  0.7500  0.7500  0.7500  6 Ge 2.50
Os  0.7500  0.2500  0.7500  6 Ge 2.50
Os  0.7500  0.7500  0.2500  6 Ge 2.50
Os  0.7500  0.2500  0.2500  6 Ge 2.50
Os  0.2500  0.2500  0.7500  6 Ge 2.50
Gd  0.2500  0.0000  0.5000  12 Ge 3.21-3.25, 4 Os 3.21
Gd  0.5000  0.2500  0.0000  12 Ge 3.21-3.25, 4 Os 3.21
Gd  0.7500  0.0000  0.5000  12 Ge 3.21-3.25, 4 Os 3.21
Gd  0.5000  0.7500  0.0000  12 Ge 3.21-3.25, 4 Os 3.21
Gd  0.0000  0.5000  0.2500  12 Ge 3.21-3.25, 4 Os 3.21
Gd  0.0000  0.5000  0.7500  12 Ge 3.21-3.25, 4 Os 3.21

Results
Electronic total energy, eV per cell: -251.6



No. 8
# GdGeOs

An optimized crystal structure of GdGeOs (GGA-PBE, the Open Quantum Materials Database).

Lattice parameters (Å, degrees): 4.5105 4.5105 4.5105 60.00 60.00 60.00
Last column: nearest neighbours and their distance in Å.
Positions (direct):
Os  0.0000  0.0000  0.0000  4 Ge 2.76, 4 Gd 2.76
Gd  0.2500  0.2500  0.2500  4 Os 2.76
Ge  0.7500  0.7500  0.7500  4 Os 2.76

Results
Electronic total energy, eV per cell: -20.6